V5Si5Ru | Alexandria via LeMat-Bulk | GGA-PBE | optimized geometry; symmetry = C2/m, No. 12; DFT total energy = -7.431 eV/atom
1.0
-3.9497 2.3264 0.7698
-0.7202 -5.9268 0.1834
2.0823 1.5991 5.8512
V Si Ru
5 5 1
Direct
0.6532 0.3065 0.3722 V
0.6034 0.2067 0.7166 V
0.0000 0.0000 0.5000 V
0.3966 0.7933 0.2834 V
0.3468 0.6935 0.6278 V
0.7942 0.5883 0.0960 Si
0.8203 0.6406 0.7056 Si
0.5000 0.0000 0.0000 Si
0.1797 0.3594 0.2944 Si
0.2058 0.4117 0.9040 Si
0.0000 0.0000 0.0000 Ru



VSiRu2 | Alexandria via LeMat-Bulk | GGA-PBE | optimized geometry; symmetry = I-42d, No. 122; DFT total energy = -8.066 eV/atom
1.0
-0.0436 -0.8753 -6.4080
-5.6948 -3.0324 0.4530
-4.2005 0.4977 -3.3033
Ru Si V
4 2 2
Direct
0.6121 0.1250 0.2500 Ru
0.1379 0.6250 0.2500 Ru
0.3750 0.3879 0.7500 Ru
0.8750 0.8621 0.7500 Ru
0.5000 0.5000 0.0000 Si
0.2500 0.7500 0.5000 Si
0.0000 0.0000 0.0000 V
0.7500 0.2500 0.5000 V



V3Si2Ru3 | Alexandria via LeMat-Bulk | GGA-PBE | optimized geometry; symmetry = R3m, No. 160; DFT total energy = -8.795 eV/atom
1.0
-2.4223 -0.4440 -3.4015
-1.5541 -3.7727 -0.9931
-6.8700 -0.1166 2.3153
V Si Ru
3 2 3
Direct
0.2506 0.2506 0.2481 V
0.7458 0.7458 0.7626 V
0.6265 0.6265 0.1206 V
0.9997 0.9997 0.0009 Si
0.5009 0.5009 0.4972 Si
0.1250 0.1250 0.6249 Ru
0.8757 0.8757 0.3728 Ru
0.3757 0.3757 0.8730 Ru



V3SiRu | Alexandria via LeMat-Bulk | GGA-PBE | optimized geometry; symmetry = Pm-3m, No. 221; DFT total energy = -7.355 eV/atom
1.0
-1.5576 3.9484 -1.4988
-2.6794 -2.1586 -2.9023
-3.2645 -0.1121 3.0972
Ru Si V
1 1 3
Direct
0.0000 0.0000 0.0000 Ru
0.5000 0.5000 0.5000 Si
0.0000 0.5000 0.0000 V
0.0000 0.0000 0.5000 V
0.5000 0.0000 0.0000 V